DFT (GGA-PBE) results for a relaxed structure of CoSb2As. Values from VASP.

Computed properties:
The calculation puts the total DFT energy (no corrections) at -4.507 eV/atom. The calculation puts the volume at 20.17 Å³ per atom. For the formation energy without anion corrections, the calculation gives 493.5 meV/atom.

```
&SYSTEM
  ibrav = 0, nat = 4, ntyp = 3
/
ATOMIC_SPECIES
Co 58.93 Co.upf
Sb 121.76 Sb.upf
As 74.92 As.upf
CELL_PARAMETERS angstrom
-2.296 2.296 3.827
2.296 -2.296 3.827
2.296 2.296 -3.827
ATOMIC_POSITIONS angstrom
Co 0.000 0.000 0.000
Sb 2.296 0.000 1.913
Sb 0.000 2.296 1.913
As 0.000 0.000 3.827
```